Record 1
The following is a DFT calculation (GGA-PBEsol) of crystalline Co2Mo4N at its relaxed geometry.

Lattice parameters (Å, degrees): 7.854 7.854 7.854 60.00 60.00 60.00
Element x y z (fractional)
Co 0.120 0.793 0.793
Co 0.207 0.207 0.207
Co 0.207 0.207 0.880
Co 0.207 0.880 0.207
Co 0.793 0.120 0.793
Co 0.793 0.793 0.120
Co 0.793 0.793 0.793
Co 0.880 0.207 0.207
Mo 0.000 0.000 0.000
Mo 0.000 0.000 0.500
Mo 0.000 0.500 0.000
Mo 0.186 0.186 0.564
Mo 0.186 0.564 0.186
Mo 0.186 0.564 0.564
Mo 0.436 0.436 0.814
Mo 0.436 0.814 0.436
Mo 0.436 0.814 0.814
Mo 0.500 0.000 0.000
Mo 0.564 0.186 0.186
Mo 0.564 0.186 0.564
Mo 0.564 0.564 0.186
Mo 0.814 0.436 0.436
Mo 0.814 0.436 0.814
Mo 0.814 0.814 0.436
N 0.000 0.500 0.500
N 0.500 0.000 0.500
N 0.500 0.500 0.000
N 0.500 0.500 0.500

Summary:
density = 10.00 Mg/m³
magnetic moment = 0.01 Bohr magnetons per cell
energy relative to the elements, uncorrected = -256 meV/atom
raw total energy = -10.41 eV/atom

Record 2
The following is a DFT calculation (GGA-PBEsol) of crystalline Co3Mo3N at its relaxed geometry.

Lattice parameters (Å, degrees): 7.690 7.690 7.690 60.00 60.00 60.00
Element x y z (fractional)
Co 0.000 0.000 0.000
Co 0.000 0.000 0.500
Co 0.000 0.500 0.000
Co 0.117 0.794 0.794
Co 0.206 0.206 0.206
Co 0.206 0.206 0.883
Co 0.206 0.883 0.206
Co 0.500 0.000 0.000
Co 0.794 0.117 0.794
Co 0.794 0.794 0.117
Co 0.794 0.794 0.794
Co 0.883 0.206 0.206
Mo 0.172 0.172 0.578
Mo 0.172 0.578 0.172
Mo 0.172 0.578 0.578
Mo 0.422 0.422 0.828
Mo 0.422 0.828 0.422
Mo 0.422 0.828 0.828
Mo 0.578 0.172 0.172
Mo 0.578 0.172 0.578
Mo 0.578 0.578 0.172
Mo 0.828 0.422 0.422
Mo 0.828 0.422 0.828
Mo 0.828 0.828 0.422
N 0.000 0.500 0.500
N 0.500 0.000 0.500
N 0.500 0.500 0.000
N 0.500 0.500 0.500

Summary:
density = 9.89 Mg/m³
magnetic moment = 13.42 Bohr magnetons per cell
energy relative to the elements, uncorrected = -246 meV/atom
raw total energy = -9.82 eV/atom

Record 3
The following is a DFT calculation (GGA-PBEsol) of crystalline CoMoSe2N at its relaxed geometry.

Lattice parameters (Å, degrees): 4.790 4.790 3.316 90.00 90.00 90.00
Element x y z (fractional)
Co 0.000 0.000 0.000
Mo 0.500 0.500 0.500
Se 0.000 0.500 0.000
Se 0.500 0.000 0.000
N 0.000 0.000 0.500

Summary:
density = 7.13 Mg/m³
magnetic moment = 2.47 Bohr magnetons per cell
energy relative to the elements, uncorrected = 521 meV/atom
raw total energy = -6.63 eV/atom

Record 4
The following is a DFT calculation (GGA-PBEsol) of crystalline NaCo2Mo at its relaxed geometry.

Lattice parameters (Å, degrees): 4.179 4.179 4.179 60.00 60.00 60.00
Element x y z (fractional)
Na 0.000 0.000 0.000
Co 0.250 0.250 0.250
Co 0.750 0.750 0.750
Mo 0.500 0.500 0.500

Summary:
density = 7.62 Mg/m³
magnetic moment = 0.99 Bohr magnetons per cell
DFT formation energy = 0.75 eV per atom
raw total energy = -6.41 eV/atom

Record 5
The following is a DFT calculation (GGA-PBEsol) of crystalline NbCo2Mo at its relaxed geometry.

Lattice parameters (Å, degrees): 4.247 4.247 4.247 60.00 60.00 60.00
Element x y z (fractional)
Nb 0.000 0.000 0.000
Co 0.250 0.250 0.250
Co 0.750 0.750 0.750
Mo 0.500 0.500 0.500

Summary:
density = 9.41 Mg/m³
magnetic moment = 3.52 Bohr magnetons per cell
DFT formation energy = 0.15 eV per atom
raw total energy = -9.36 eV/atom

Record 6
The following is a DFT calculation (GGA-PBEsol) of crystalline Nb2CoSnMo at its relaxed geometry.

Lattice parameters (Å, degrees): 4.942 4.942 4.807 90.00 90.00 90.00
Element x y z (fractional)
Nb 0.000 0.500 0.000
Nb 0.500 0.000 0.000
Co 0.000 0.000 0.500
Sn 0.500 0.500 0.000
Mo 0.500 0.500 0.500

Summary:
density = 6.50 Mg/m³
magnetic moment = 2.05 Bohr magnetons per cell
DFT formation energy = 2.36 eV per atom
raw total energy = -6.72 eV/atom

Record 7
The following is a DFT calculation (GGA-PBEsol) of crystalline TaNbCoMo2 at its relaxed geometry.

Lattice parameters (Å, degrees): 4.658 4.658 4.805 90.00 90.00 90.00
Element x y z (fractional)
Ta 0.000 0.000 0.000
Nb 0.000 0.000 0.500
Co 0.500 0.500 0.500
Mo 0.000 0.500 0.000
Mo 0.500 0.000 0.000

Summary:
density = 8.36 Mg/m³
magnetic moment = 1.83 Bohr magnetons per cell
DFT formation energy = 2.16 eV per atom
raw total energy = -8.77 eV/atom

Record 8
The following is a DFT calculation (GGA-PBEsol) of crystalline CoNi3Mo at its relaxed geometry.

Lattice parameters (Å, degrees): 4.129 4.129 4.129 90.00 90.00 90.00
Element x y z (fractional)
Co 0.000 0.000 0.000
Ni 0.000 0.000 0.500
Ni 0.000 0.500 0.000
Ni 0.500 0.000 0.000
Mo 0.500 0.500 0.500

Summary:
density = 7.80 Mg/m³
magnetic moment = 6.42 Bohr magnetons per cell
DFT formation energy = 1.28 eV per atom
raw total energy = -6.31 eV/atom

- Number 3 is which compound?
  CoMoSe2N

- Look up the raw total energy of the fourth one.
  -6.41 eV/atom

- Look up the magnetic moment of the fourth one.
  0.99 Bohr magnetons per cell

- Number 3 is which compound?
  CoMoSe2N